Crystalline AcReAs2 at its relaxed geometry. Source: Alexandria, functional PBE-GGA.

Results
Energy above the lowest structure with this stoichiometry (eV per atom): 0.463
Formation enthalpy at 0 K (eV/atom): -0.03
Total DFT energy (no corrections) (eV/atom): -6.4938

Cell and atoms, written as extended XYZ:
```
4
Lattice="3.3319 0.0000 0.0000 0.0000 3.3319 0.0000 0.0000 0.0000 7.3814" Properties=species:S:1:pos:R:3 pbc="T T T"
Re 1.6660 1.6660 0.0000
As 0.0000 0.0000 5.9602
As 0.0000 0.0000 1.4212
Ac 1.6660 1.6660 3.6907
```



Crystalline AcAs2Rh3 at its relaxed geometry. Source: Alexandria, functional PBE-GGA.

Results
Energy above the lowest structure with this stoichiometry (eV per atom): 0.065
Formation enthalpy at 0 K (eV/atom): -0.76
Total DFT energy (no corrections) (eV/atom): -6.6736

Cell and atoms, written as extended XYZ:
```
12
Lattice="-1.9909 1.4520 3.4103 -5.8365 -0.9570 -5.5953 1.8930 -6.4112 3.8347" Properties=species:S:1:pos:R:3 pbc="T T T"
As -4.6638 -1.4315 0.4822
As -1.2708 -4.4848 1.1675
As -5.0669 -5.3276 -0.6898
As -0.8676 -0.5887 2.3395
Rh 0.0732 -2.4275 1.0762
Rh -1.0792 -3.6493 3.5190
Rh -6.0077 -3.4888 0.5735
Rh -2.7368 -2.1113 1.8965
Rh -4.8553 -2.2670 -1.8693
Rh -3.1977 -3.8050 -0.2468
Ac -1.9131 -0.5439 -0.8853
Ac -4.0214 -5.3724 2.5350
```



Crystalline Ac2As2Rh3 at its relaxed geometry. Source: Alexandria, functional PBE-GGA.

Results
Formation enthalpy at 0 K (eV/atom): -0.80
Total DFT energy (no corrections) (eV/atom): -6.4540

Cell and atoms, written as extended XYZ:
```
7
Lattice="-1.4753 -0.5332 3.7543 4.8860 -3.3602 -0.7621 1.7510 6.7340 1.6445" Properties=species:S:1:pos:R:3 pbc="T T T"
As 3.5111 2.4169 3.9279
As 1.6506 0.4237 0.7088
Rh 3.9070 1.3400 1.7256
Rh -0.7376 -0.2666 1.8772
Rh 1.2547 1.5006 2.9111
Ac 2.7754 -1.3829 3.0991
Ac 2.3863 4.2235 1.5376
```



Crystalline Ac3As4Rh4 at its relaxed geometry. Source: Alexandria, functional PBE-GGA.

Results
Formation enthalpy at 0 K (eV/atom): -1.02
Total DFT energy (no corrections) (eV/atom): -6.5020

Cell and atoms, written as extended XYZ:
```
11
Lattice="-0.4132 3.2226 -2.7589 -1.4420 -2.7635 -3.0169 -13.0824 2.1341 1.1815" Properties=species:S:1:pos:R:3 pbc="T T T"
Ac -13.0824 2.1341 1.1814
Ac -4.6955 2.3948 -3.0714
Ac -10.2421 0.1984 -1.5230
As -12.7332 2.1753 -2.1474
As -8.5311 2.9996 -1.7922
As -2.2043 0.4179 -2.4471
As -6.4065 -0.4064 -2.8022
Rh -10.8812 3.3628 -1.0004
Rh -4.0564 -0.7696 -3.5940
Rh -7.0472 1.1878 -0.8382
Rh -7.8904 1.4053 -3.7562
```



Crystalline AcAsRh at its relaxed geometry. Source: Alexandria, functional PBE-GGA.

Results
Energy above the lowest structure with this stoichiometry (eV per atom): 0.000
Formation enthalpy at 0 K (eV/atom): -1.07
Total DFT energy (no corrections) (eV/atom): -6.4387

Cell and atoms, written as extended XYZ:
```
3
Lattice="-4.0591 0.8180 1.4053 -1.1571 -4.0844 -0.9647 1.5591 0.9446 3.9534" Properties=species:S:1:pos:R:3 pbc="T T T"
Ac -2.9579 -1.8627 1.6116
Rh -0.0217 -0.5956 2.5478
As -0.6774 0.1365 0.2345
```



Crystalline AcAs2Rh2 at its relaxed geometry. Source: Alexandria, functional PBE-GGA.

Results
Formation enthalpy at 0 K (eV/atom): -0.93
Total DFT energy (no corrections) (eV/atom): -6.5523

Cell and atoms, written as extended XYZ:
```
10
Lattice="-3.8523 1.8594 1.0860 -2.1405 -3.5493 -1.5157 0.5384 -4.2417 9.1725" Properties=species:S:1:pos:R:3 pbc="T T T"
Rh -1.5935 -1.6911 6.2103
Rh -2.9964 -0.8450 -0.2149
Rh 0.0000 0.0000 0.0000
Rh -0.8645 -3.3956 2.7474
Ac -1.7901 -0.1423 2.8613
Ac -0.6679 -4.9443 6.0964
As -1.4597 -2.7449 8.4891
As -0.9983 -2.3418 0.4686
As 0.2692 -2.1209 4.5863
As -2.7272 -2.9658 4.3714
```



Crystalline AcAs3Rh5 at its relaxed geometry. Source: Alexandria, functional PBE-GGA.

Results
Formation enthalpy at 0 K (eV/atom): -0.68
Total DFT energy (no corrections) (eV/atom): -6.7731

Cell and atoms, written as extended XYZ:
```
18
Lattice="4.0303 0.0000 0.0000 -2.0152 6.3265 0.0000 0.0000 0.0000 12.6828" Properties=species:S:1:pos:R:3 pbc="T T T"
Rh 0.0000 5.5878 4.5566
Rh 0.0000 5.5878 1.7848
Rh 0.0000 2.5689 11.7487
Rh 0.0000 2.5689 7.2755
Rh 0.0000 0.0000 0.0000
Rh 2.0152 3.7576 5.4073
Rh 0.0000 0.0000 6.3414
Rh 2.0152 3.7576 0.9341
Rh 2.0152 0.7387 10.8980
Rh 2.0152 0.7387 8.1262
As 2.0152 1.4470 0.5468
As 0.0000 1.3610 9.5121
As 2.0152 4.9655 3.1707
As 0.0000 4.8794 6.8882
As 0.0000 4.8794 12.1360
As 2.0152 1.4470 5.7946
Ac 2.0152 4.2545 9.5121
Ac 0.0000 2.0720 3.1707
```



Crystalline Ac2As7Rh12 at its relaxed geometry. Source: Alexandria, functional PBE-GGA.

Results
Formation enthalpy at 0 K (eV/atom): -0.68
Total DFT energy (no corrections) (eV/atom): -6.8209

Cell and atoms, written as extended XYZ:
```
21
Lattice="4.0196 0.0000 0.0000 0.0000 8.7433 -5.0480 0.0000 0.0000 10.0959" Properties=species:S:1:pos:R:3 pbc="T T T"
As 3.0183 2.5209 2.5596
As 1.0012 6.2224 2.4883
As 3.0183 0.9563 6.6330
As 3.0183 5.2662 5.9513
As 2.0098 0.0000 0.0000
As 1.0012 3.4772 -0.9033
As 1.0012 7.7871 -1.5850
Rh 0.9928 6.4640 4.9013
Rh 1.0042 3.8627 1.6117
Rh 1.0042 8.2077 0.8969
Rh 3.0268 7.7307 3.0007
Rh 3.0268 2.2793 0.1466
Rh 3.0154 3.3271 7.5566
Rh 0.9928 1.2666 8.1953
Rh 3.0154 0.5356 4.1511
Rh 3.0268 7.4767 -3.1473
Rh 3.0154 4.8806 3.4363
Rh 1.0042 5.4162 -2.5086
Rh 0.9928 1.0127 2.0472
Ac 1.0048 2.9144 5.0480
Ac 3.0147 5.8289 0.0000
```



Question: Which of these has the highest total DFT energy (no corrections)?
Answer: AcAsRh



Question: Which value of total DFT energy (no corrections) does entry 3 give?
Answer: -6.4540 eV/atom



Question: total DFT energy (no corrections) of number 3 (Ac2As2Rh3)?
Answer: -6.4540 eV/atom



Question: Which of these has the highest total DFT energy (no corrections)?
Answer: AcAsRh